Rb2BaCrF6 | GGA+U | optimized geometry

```
data_Rb2BaCrF6
_cell_length_a 6.7055
_cell_length_b 6.7055
_cell_length_c 9.1353
_cell_angle_alpha 90.00
_cell_angle_beta 90.00
_cell_angle_gamma 90.00
_symmetry_space_group_name_H-M 'I 4/m m m'
_symmetry_Int_Tables_number 139
_symmetry_space_group_name_Hall '-I 4 2'
loop_
_atom_site_label
_atom_site_fract_x
_atom_site_fract_y
_atom_site_fract_z
Rb1 0.0000 0.5000 0.2500
Ba1 0.0000 0.0000 0.0000
Cr1 0.0000 0.0000 0.5000
F1 0.0000 0.0000 0.2792
F2 0.2322 0.2322 0.5000
```

Summary:
Total magnetization   4.0 μB/f.u.
E above lowest polymorph   11 meV/atom